Ce3Pm4PrS8: optimized geometry, PBE-GGA.

The structure in CIF format:
```
data_Ce3Pm4PrS8
_symmetry_space_group_name_H-M 'P 1'
_symmetry_Int_Tables_number 1
_cell_length_a 8.079
_cell_length_b 8.081
_cell_length_c 8.079
_cell_angle_alpha 119.99
_cell_angle_beta 120.00
_cell_angle_gamma 90.00
loop_
_symmetry_equiv_pos_as_xyz
'x,y,z'
loop_
_atom_site_label
_atom_site_type_symbol
_atom_site_fract_x
_atom_site_fract_y
_atom_site_fract_z
S1 S 0.252 0.752 0.504
S2 S 0.250 0.250 0.500
S3 S 0.748 0.248 0.496
S4 S 0.750 0.750 0.500
Pm1 Pm 0.000 0.000 0.000
Ce1 Ce 0.500 0.500 0.500
Pr1 Pr 0.000 0.500 0.000
Pm2 Pm 0.000 0.000 0.500
S5 S 0.748 0.248 0.000
S6 S 0.748 0.752 0.000
S7 S 0.252 0.752 0.000
Pm3 Pm 0.500 0.000 0.000
Ce2 Ce 0.000 0.500 0.500
Ce3 Ce 0.500 0.500 0.000
Pm4 Pm 0.500 0.000 0.500
S8 S 0.252 0.248 0.000
```

Properties
**Energy relative to the elements, uncorrected**: -32.66 eV per formula unit
**SG**: R-3m (166)

AcSbP4: optimized geometry, PBE-GGA.

The structure in CIF format:
```
data_AcSbP4
_symmetry_space_group_name_H-M 'P 1'
_symmetry_Int_Tables_number 1
_cell_length_a 5.728
_cell_length_b 5.728
_cell_length_c 5.728
_cell_angle_alpha 60.00
_cell_angle_beta 60.00
_cell_angle_gamma 60.00
loop_
_symmetry_equiv_pos_as_xyz
'x,y,z'
loop_
_atom_site_label
_atom_site_type_symbol
_atom_site_fract_x
_atom_site_fract_y
_atom_site_fract_z
P1 P 0.649 0.649 0.649
Sb1 Sb 0.000 0.000 0.000
P2 P 0.053 0.649 0.649
Ac1 Ac 0.250 0.250 0.250
P3 P 0.649 0.053 0.649
P4 P 0.649 0.649 0.053
```

Properties
**Energy relative to the elements, uncorrected**: -0.79 eV per formula unit
**SG**: F-43m (216)

Pm12Pr6Dy: optimized geometry, PBE-GGA.

The structure in CIF format:
```
data_Pm12Pr6Dy
_symmetry_space_group_name_H-M 'P 1'
_symmetry_Int_Tables_number 1
_cell_length_a 9.070
_cell_length_b 9.070
_cell_length_c 9.070
_cell_angle_alpha 99.86
_cell_angle_beta 99.86
_cell_angle_gamma 99.86
loop_
_symmetry_equiv_pos_as_xyz
'x,y,z'
loop_
_atom_site_label
_atom_site_type_symbol
_atom_site_fract_x
_atom_site_fract_y
_atom_site_fract_z
Dy1 Dy 0.000 0.000 0.000
Pm1 Pm 0.539 0.821 0.539
Pr1 Pr 0.755 0.210 0.210
Pm2 Pm 0.500 0.115 0.885
Pm3 Pm 0.885 0.500 0.115
Pm4 Pm 0.179 0.461 0.461
Pm5 Pm 0.885 0.115 0.500
Pr2 Pr 0.210 0.210 0.755
Pm6 Pm 0.500 0.885 0.115
Pr3 Pr 0.790 0.245 0.790
Pr4 Pr 0.790 0.790 0.245
Pm7 Pm 0.539 0.539 0.821
Pm8 Pm 0.461 0.461 0.179
Pm9 Pm 0.461 0.179 0.461
Pr5 Pr 0.210 0.755 0.210
Pm10 Pm 0.821 0.539 0.539
Pm11 Pm 0.115 0.500 0.885
Pm12 Pm 0.115 0.885 0.500
Pr6 Pr 0.245 0.790 0.790
```

Properties
**Energy relative to the elements**: 7.99 eV per formula unit
**SG**: R-3m (166)

Zr2OsBr: optimized geometry, PBE-GGA.

The structure in CIF format:
```
data_Zr2OsBr
_symmetry_space_group_name_H-M 'P 1'
_symmetry_Int_Tables_number 1
_cell_length_a 4.156
_cell_length_b 4.156
_cell_length_c 8.226
_cell_angle_alpha 65.30
_cell_angle_beta 65.30
_cell_angle_gamma 52.16
loop_
_symmetry_equiv_pos_as_xyz
'x,y,z'
loop_
_atom_site_label
_atom_site_type_symbol
_atom_site_fract_x
_atom_site_fract_y
_atom_site_fract_z
Zr1 Zr 0.975 0.975 0.925
Zr2 Zr 0.525 0.525 0.575
Br1 Br 0.250 0.250 0.250
Os1 Os 0.750 0.750 0.750
```

Properties
**Energy relative to the elements, uncorrected**: -1.60 eV per formula unit
**SG**: C2/m (12)
**Excess energy over the best structure of this formula in the dataset**: 91 meV/atom

Pm5Ho2: optimized geometry, PBE-GGA.

The structure in CIF format:
```
data_Pm5Ho2
_symmetry_space_group_name_H-M 'P 1'
_symmetry_Int_Tables_number 1
_cell_length_a 6.344
_cell_length_b 9.352
_cell_length_c 8.608
_cell_angle_alpha 94.70
_cell_angle_beta 111.62
_cell_angle_gamma 90.00
loop_
_symmetry_equiv_pos_as_xyz
'x,y,z'
loop_
_atom_site_label
_atom_site_type_symbol
_atom_site_fract_x
_atom_site_fract_y
_atom_site_fract_z
Ho1 Ho 0.265 0.393 0.859
Pm1 Pm 0.973 0.964 0.282
Pm2 Pm 0.691 0.536 0.718
Ho2 Ho 0.406 0.107 0.141
Pm3 Pm 0.549 0.821 0.430
Pm4 Pm 0.027 0.036 0.718
Pm5 Pm 0.120 0.679 0.570
Pm6 Pm 0.309 0.464 0.282
Pm7 Pm 0.880 0.321 0.430
Ho3 Ho 0.594 0.893 0.859
Pm8 Pm 0.832 0.250 0.000
Pm9 Pm 0.451 0.179 0.570
Ho4 Ho 0.735 0.607 0.141
Pm10 Pm 0.168 0.750 0.000
```

Properties
**Energy relative to the elements**: 0.18 eV per formula unit
**SG**: C2/c (15)
**Excess energy over the best structure of this formula in the dataset**: 0 meV/atom

ErHfSb2: optimized geometry, PBE-GGA.

The structure in CIF format:
```
data_ErHfSb2
_symmetry_space_group_name_H-M 'P 1'
_symmetry_Int_Tables_number 1
_cell_length_a 3.774
_cell_length_b 3.774
_cell_length_c 10.157
_cell_angle_alpha 79.29
_cell_angle_beta 79.29
_cell_angle_gamma 60.00
loop_
_symmetry_equiv_pos_as_xyz
'x,y,z'
loop_
_atom_site_label
_atom_site_type_symbol
_atom_site_fract_x
_atom_site_fract_y
_atom_site_fract_z
Er1 Er 0.000 0.000 0.000
Sb1 Sb 0.898 0.898 0.306
Sb2 Sb 0.102 0.102 0.694
Hf1 Hf 0.500 0.500 0.500
```

Properties
**Energy relative to the elements, uncorrected**: -0.48 eV per formula unit
**SG**: R-3m (166)
**Excess energy over the best structure of this formula in the dataset**: 559 meV/atom

SrInCu3: optimized geometry, PBE-GGA.

The structure in CIF format:
```
data_SrInCu3
_symmetry_space_group_name_H-M 'P 1'
_symmetry_Int_Tables_number 1
_cell_length_a 5.561
_cell_length_b 5.561
_cell_length_c 5.561
_cell_angle_alpha 90.00
_cell_angle_beta 90.00
_cell_angle_gamma 90.00
loop_
_symmetry_equiv_pos_as_xyz
'x,y,z'
loop_
_atom_site_label
_atom_site_type_symbol
_atom_site_fract_x
_atom_site_fract_y
_atom_site_fract_z
Cu1 Cu 0.500 0.000 0.000
In1 In 0.500 0.500 0.500
Cu2 Cu 0.000 0.500 0.000
Sr1 Sr 0.000 0.000 0.000
Cu3 Cu 0.000 0.000 0.500
```

Properties
**Energy relative to the elements**: 5.50 eV per formula unit
**SG**: Pm-3m (221)
**Excess energy over the best structure of this formula in the dataset**: 868 meV/atom

Dy5YEr4: optimized geometry, PBE-GGA.

The structure in CIF format:
```
data_Dy5YEr4
_symmetry_space_group_name_H-M 'P 1'
_symmetry_Int_Tables_number 1
_cell_length_a 6.270
_cell_length_b 7.821
_cell_length_c 7.821
_cell_angle_alpha 80.75
_cell_angle_beta 66.37
_cell_angle_gamma 66.37
loop_
_symmetry_equiv_pos_as_xyz
'x,y,z'
loop_
_atom_site_label
_atom_site_type_symbol
_atom_site_fract_x
_atom_site_fract_y
_atom_site_fract_z
Dy1 Dy 0.716 0.089 0.379
Er1 Er 0.402 0.397 0.702
Dy2 Dy 0.682 0.000 0.000
Er2 Er 0.799 0.702 0.603
Dy3 Dy 0.095 0.621 0.089
Y1 Y 0.224 0.000 0.000
Dy4 Dy 0.184 0.911 0.621
Dy5 Dy 0.805 0.379 0.911
Er3 Er 0.104 0.298 0.397
Er4 Er 0.501 0.603 0.298
```

Properties
**Energy relative to the elements**: 3.12 eV per formula unit
**SG**: I4 (79)